# 1
Computed, not measured: UGaBr6 after structural relaxation at the PBE level of DFT.

Cell: 7.2686 7.2756 7.8329 Å, 90.01 117.63 119.95°
Last column: nearest neighbours and their distance in Å.
Fractional positions:
U 0.0000 0.0000 0.0000  6 Br 2.71
Ga 0.0000 0.5000 0.5000  6 Br 3.11-3.12
Br 0.1501 0.9287 0.7638  1 U 2.71
Br 0.1652 0.7788 0.2358  1 U 2.71
Br 0.4570 0.3857 0.2354  1 U 2.71
Br 0.5430 0.6143 0.7646  1 U 2.71
Br 0.8348 0.2212 0.7642  1 U 2.71
Br 0.8499 0.0713 0.2362  1 U 2.71

Calculated values
Volume in Å³/f.u.: 303.2
E_form (uncorrected) in meV per atom: -1070
Total magnetization in μB per cell: 1.0

***

# 2
Computed, not measured: UGa6Br12 after structural relaxation at the PBE level of DFT.

Cell: 9.2984 9.2984 9.2984 Å, 72.54 72.54 72.54°
Last column: nearest neighbours and their distance in Å.
Fractional positions:
U 0.0000 0.0000 0.0000  6 Br 2.72
Ga 0.1246 0.4481 0.3159  2 Br 2.63
Ga 0.3159 0.1246 0.4481  2 Br 2.63
Ga 0.4481 0.3159 0.1246  2 Br 2.63
Ga 0.5519 0.6841 0.8754  2 Br 2.63
Ga 0.6841 0.8754 0.5519  2 Br 2.63
Ga 0.8754 0.5519 0.6841  2 Br 2.63
Br 0.0499 0.2910 0.8926  1 U 2.72, 1 Ga 3.00
Br 0.1074 0.9501 0.7090  1 U 2.72, 1 Ga 3.00
Br 0.1429 0.6007 0.5035  2 Ga 2.63
Br 0.2910 0.8926 0.0499  1 U 2.72, 1 Ga 3.00
Br 0.3993 0.4965 0.8571  2 Ga 2.63
Br 0.4965 0.8571 0.3993  2 Ga 2.63
Br 0.5035 0.1429 0.6007  2 Ga 2.63
Br 0.6007 0.5035 0.1429  2 Ga 2.63
Br 0.7090 0.1074 0.9501  1 U 2.72, 1 Ga 3.00
Br 0.8571 0.3993 0.4965  2 Ga 2.63
Br 0.8926 0.0499 0.2910  1 U 2.72, 1 Ga 3.00
Br 0.9501 0.7090 0.1074  1 U 2.72, 1 Ga 3.00

Calculated values
Volume in Å³/f.u.: 711.8
Fermi-level density of states in states/eV per cell: 14.0
E_form (uncorrected) in meV per atom: -712
Total magnetization in μB per cell: 1.3

***

# 3
Computed, not measured: UGa3Br7 after structural relaxation at the PBE level of DFT.

Cell: 7.3968 7.3968 9.1819 Å, 118.35 118.35 78.86°
Last column: nearest neighbours and their distance in Å.
Fractional positions:
U 0.0000 0.0000 0.0000  7 Br 2.76-3.07
Ga 0.0874 0.6825 0.4402  3 Br 2.87-2.94
Ga 0.4337 0.4337 0.8773  6 Br 2.99-3.33
Ga 0.6825 0.0874 0.4402  3 Br 2.87-2.94
Br 0.0052 0.6192 0.6966  1 U 2.88, 2 Ga 2.94-3.19
Br 0.1596 0.1596 0.8633  1 U 2.78, 1 Ga 3.06
Br 0.3167 0.3167 0.3655  2 Ga 2.87, 1 U 3.07
Br 0.3439 0.7841 0.1747  2 Ga 2.90-2.99, 1 U 2.93
Br 0.6192 0.0052 0.6966  1 U 2.88, 2 Ga 2.94-3.19
Br 0.7841 0.3439 0.1747  2 Ga 2.90-2.99, 1 U 2.93
Br 0.7913 0.7913 0.0609  1 U 2.76

Calculated values
Volume in Å³/f.u.: 388.7
Fermi-level density of states in states/eV per cell: 4.0
E_form (uncorrected) in meV per atom: -865
Total magnetization in μB per cell: 2.0

***

# 4
Computed, not measured: VGaBr after structural relaxation at the PBE level of DFT.

Cell: 3.4563 12.1129 12.1129 Å, 14.17 90.00 90.00°
Last column: nearest neighbours and their distance in Å.
Fractional positions:
V 0.0000 0.0000 0.0000  2 Br 2.45, 4 Ga 2.62, 1 V 2.67
V 0.0000 0.1112 0.1112  3 V 2.67-2.99, 8 Ga 2.68-2.74
Ga 0.5000 0.5530 0.5530  8 V 2.62-2.68, 1 Ga 2.91
Ga 0.5000 0.6740 0.6740  1 Br 2.45, 4 V 2.74
Br 0.0000 0.4192 0.4192  2 V 2.45
Br 0.5000 0.7758 0.7758  1 Ga 2.45

Calculated values
Volume in Å³/f.u.: 62.1
Fermi-level density of states in states/eV per cell: 5.7
E_form (uncorrected) in meV per atom: -153
Total magnetization in μB per cell: 0.0

***

# 5
Computed, not measured: VGaBr3 after structural relaxation at the PBE level of DFT.

Cell: 5.2984 5.2984 5.2984 Å, 90.00 90.00 90.00°
Last column: nearest neighbours and their distance in Å.
Fractional positions:
V 0.0000 0.0000 0.0000  12 Br 3.75
Ga 0.5000 0.5000 0.5000  6 Br 2.65
Br 0.0000 0.5000 0.5000  2 Ga 2.65
Br 0.5000 0.0000 0.5000  2 Ga 2.65
Br 0.5000 0.5000 0.0000  2 Ga 2.65

Calculated values
Volume in Å³/f.u.: 148.7
Fermi-level density of states in states/eV per cell: 11.0
E_form (uncorrected) in meV per atom: 161
Total magnetization in μB per cell: 3.8

***

# 6
Computed, not measured: V2GaBr after structural relaxation at the PBE level of DFT.

Cell: 9.4596 9.4596 9.4596 Å, 156.33 156.33 33.71°
Last column: nearest neighbours and their distance in Å.
Fractional positions:
V 0.1170 0.6250 0.9920  2 Ga 2.64, 2 Br 2.66, 4 V 2.70-2.79
V 0.3750 0.3670 0.4920  2 Ga 2.64, 2 Br 2.66, 4 V 2.70-2.79
V 0.6330 0.1250 0.0080  2 Ga 2.64, 2 Br 2.66, 4 V 2.70-2.79
V 0.8750 0.8830 0.5080  2 Ga 2.64, 2 Br 2.66, 4 V 2.70-2.79
Ga 0.0000 0.0000 0.0000  4 V 2.64, 4 Br 2.74
Ga 0.7500 0.2500 0.5000  4 V 2.64, 4 Br 2.74
Br 0.2500 0.7500 0.5000  4 V 2.66, 4 Ga 2.74
Br 0.5000 0.5000 0.0000  4 V 2.66, 4 Ga 2.74

Calculated values
Volume in Å³/f.u.: 68.1
Fermi-level density of states in states/eV per cell: 8.4
E_form (uncorrected) in meV per atom: 596
Total magnetization in μB per cell: 0.0

***

# 7
Computed, not measured: VGaBr after structural relaxation at the PBE level of DFT.

Cell: 3.9656 3.2362 11.0861 Å, 90.00 90.45 90.00°
Last column: nearest neighbours and their distance in Å.
Fractional positions:
V 0.0000 0.0000 0.0000  2 V 2.56, 6 Ga 2.57-2.68
V 0.0041 0.5000 0.1790  2 Br 2.50, 2 V 2.56, 2 Ga 2.61
Ga 0.5006 0.5000 0.0255  6 V 2.57-2.61
Ga 0.9955 0.5000 0.8077  2 Br 2.60, 2 V 2.68
Br 0.0069 0.0000 0.3513  2 V 2.50
Br 0.4923 0.5000 0.6561  2 Ga 2.60

Calculated values
Volume in Å³/f.u.: 71.1
Fermi-level density of states in states/eV per cell: 3.8
E_form (uncorrected) in meV per atom: -109
Total magnetization in μB per cell: 2.1

***

# 8
Computed, not measured: VGa2Br8 after structural relaxation at the PBE level of DFT.

Cell: 7.9907 7.9907 6.3794 Å, 94.54 94.54 81.28°
Last column: nearest neighbours and their distance in Å.
Fractional positions:
V 0.0000 0.0000 0.0000  6 Br 2.64-2.67
Ga 0.1976 0.1976 0.6393  4 Br 2.31-2.41
Ga 0.8024 0.8024 0.3607  4 Br 2.31-2.41
Br 0.0794 0.7325 0.2247  1 Ga 2.41, 1 V 2.64
Br 0.1871 0.1871 0.2610  1 Ga 2.40, 1 V 2.67
Br 0.2675 0.9206 0.7753  1 Ga 2.41, 1 V 2.64
Br 0.3835 0.3835 0.7608  1 Ga 2.31
Br 0.6165 0.6165 0.2392  1 Ga 2.31
Br 0.7325 0.0794 0.2247  1 Ga 2.41, 1 V 2.64
Br 0.8129 0.8129 0.7390  1 Ga 2.40, 1 V 2.67
Br 0.9206 0.2675 0.7753  1 Ga 2.41, 1 V 2.64

Calculated values
Volume in Å³/f.u.: 400.4
E_form (uncorrected) in meV per atom: -814
Total magnetization in μB per cell: 3.0

***

# 9
Computed, not measured: VGaBr after structural relaxation at the PBE level of DFT.

Cell: 9.8178 9.8178 3.6678 Å, 90.19 90.19 23.33°
Last column: nearest neighbours and their distance in Å.
Fractional positions:
V 0.0453 0.0453 0.2508  1 Br 2.37, 2 V 2.53
V 0.9547 0.9547 0.7492  1 Br 2.37, 2 V 2.53
Ga 0.4504 0.4504 0.2491  2 Ga 2.65, 6 V 2.70
Ga 0.5496 0.5496 0.7509  2 Ga 2.65, 6 V 2.70
Br 0.1687 0.1687 0.2521  1 V 2.37
Br 0.8313 0.8313 0.7479  1 V 2.37

Calculated values
Volume in Å³/f.u.: 70.0
Fermi-level density of states in states/eV per cell: 4.7
E_form (uncorrected) in meV per atom: -223
Total magnetization in μB per cell: 0.0

***

# 10
Computed, not measured: VGaBr after structural relaxation at the PBE level of DFT.

Cell: 3.3533 3.8992 10.0282 Å, 101.15 90.11 90.00°
Last column: nearest neighbours and their distance in Å.
Fractional positions:
V 0.2492 0.4313 0.3610  2 Br 2.57, 4 Ga 2.61
V 0.7508 0.5687 0.6390  2 Br 2.57, 4 Ga 2.61
Ga 0.2506 0.0473 0.5961  2 Ga 2.53, 4 V 2.61
Ga 0.7494 0.9527 0.4039  2 Ga 2.53, 4 V 2.61
Br 0.2519 0.6672 0.8364  2 V 2.57
Br 0.7481 0.3328 0.1636  2 V 2.57

Calculated values
Volume in Å³/f.u.: 64.3
Fermi-level density of states in states/eV per cell: 4.0
E_form (uncorrected) in meV per atom: -211
Total magnetization in μB per cell: 2.4

***

# 11
Computed, not measured: VGa3Br after structural relaxation at the PBE level of DFT.

Cell: 5.0923 5.0923 5.0923 Å, 90.00 90.00 90.00°
Last column: nearest neighbours and their distance in Å.
Fractional positions:
V 0.0000 0.0000 0.0000  6 Ga 2.55
Ga 0.0000 0.0000 0.5000  2 V 2.55
Ga 0.0000 0.5000 0.0000  2 V 2.55
Ga 0.5000 0.0000 0.0000  2 V 2.55
Br 0.5000 0.5000 0.5000  12 Ga 3.60

Calculated values
Volume in Å³/f.u.: 132.1
Fermi-level density of states in states/eV per cell: 1.5
E_form (uncorrected) in meV per atom: 278
Total magnetization in μB per cell: 4.7

***

# 12
Computed, not measured: V2GaBr after structural relaxation at the PBE level of DFT.

Cell: 4.4248 4.4248 4.4248 Å, 60.00 60.00 60.00°
Last column: nearest neighbours and their distance in Å.
Fractional positions:
V 0.2500 0.2500 0.2500  4 Br 2.71, 4 Ga 2.71
V 0.7500 0.7500 0.7500  4 Br 2.71, 4 Ga 2.71
Ga 0.0000 0.0000 0.0000  8 V 2.71
Br 0.5000 0.5000 0.5000  8 V 2.71

Calculated values
Volume in Å³/f.u.: 61.3
Fermi-level density of states in states/eV per cell: 3.1
E_form (uncorrected) in meV per atom: 483
Total magnetization in μB per cell: 0.0